Record 1
This record from Alexandria describes a relaxed structure of Zr5Tl2H. The functional is GGA-PBE.

Lattice parameters (Å, degrees): 6.2258 6.2192 6.3393 59.43 59.33 61.25
With the nearest neighbours (Å) after each atom.
Atoms (fractional coordinates):
Zr: 0.0000 0.0000 0.0000  1 H 2.17
Zr: 0.5011 0.9969 0.0031  1 H 2.26
Zr: 0.5012 0.9971 0.4988  1 H 2.26
Zr: 0.9971 0.5012 0.0029  1 H 2.26
Zr: 0.9969 0.5011 0.4989  1 H 2.26
Tl: 0.4985 0.4985 0.0015  10 Zr 3.11-3.17
Tl: 0.9985 0.9985 0.5015  10 Zr 3.11-3.17
H: 0.2511 0.2511 0.7489  5 Zr 2.17-2.26

Output
Energy: -50.91 eV per formula unit
Magnetization: 0.000 Bohr magnetons per cell
Volume: 173.4 Å³ per cell

Record 2
This record from Alexandria describes a relaxed structure of YZn2Tc. The functional is GGA-PBE.

Lattice parameters (Å, degrees): 3.4737 3.4737 5.8761 90.00 90.00 90.00
With the nearest neighbours (Å) after each atom.
Atoms (fractional coordinates):
Y: 0.0000 0.0000 0.0000  2 Tc 2.94, 8 Zn 3.00
Zn: 0.5000 0.5000 0.2931  1 Zn 2.43
Zn: 0.5000 0.5000 0.7069  1 Zn 2.43
Tc: 0.0000 0.0000 0.5000  8 Zn 2.74, 2 Y 2.94

Output
Offset from the most stable computed form: 0.023 eV/atom
Formation energy: -69 meV per atom
Magnetization: 0.000 Bohr magnetons per cell
Volume: 70.9 Å³ per cell

Record 3
This record from Alexandria describes a relaxed structure of Zr2CrW. The functional is GGA-PBE.

Lattice parameters (Å, degrees): 2.8997 2.8997 9.3479 90.00 90.00 112.32
With the nearest neighbours (Å) after each atom.
Atoms (fractional coordinates):
Zr: 0.0000 0.0000 0.0000  6 Zr 2.90-3.23, 2 W 2.91
Zr: 0.5000 0.5000 0.3082  2 Cr 2.72, 4 Zr 2.90
Cr: 0.0000 0.0000 0.5422  2 W 2.46, 2 Zr 2.72
W: 0.5000 0.5000 0.7408  2 Cr 2.46

Output
Offset from the most stable computed form: 0.104 eV/atom
Formation energy: 225 meV per atom
Magnetization: 0.000 Bohr magnetons per cell
Volume: 72.7 Å³ per cell

Record 4
This record from Alexandria describes a relaxed structure of Tb2MgNi. The functional is GGA-PBE.

Lattice parameters (Å, degrees): 10.2876 10.2876 10.2876 20.43 20.43 20.43
With the nearest neighbours (Å) after each atom.
Atoms (fractional coordinates):
Tb: 0.1117 0.1117 0.1117  3 Ni 2.68
Tb: 0.8883 0.8883 0.8883  3 Ni 2.68
Mg: 0.0000 0.0000 0.0000  2 Tb 3.37, 6 Mg 3.65
Ni: 0.5000 0.5000 0.5000  6 Tb 2.68

Output
Formation energy: 86 meV per atom
Magnetization: 0.000 Bohr magnetons per cell
Volume: 116.1 Å³ per cell